Arrangement i

Tl3NiP: relaxed, PBE.

## Properties
Its density is 7.72 g cm⁻³.

Cell lengths 5.3272, 5.3272, 5.3272 Å; angles 90.00, 90.00, 90.00 degrees
Last column: nearest neighbours and their distance in Å.
Positions (direct):
Tl1 0.5000 0.0000 0.0000  2 P 2.66
Tl2 0.0000 0.0000 0.5000  2 P 2.66
Tl3 0.0000 0.5000 0.0000  2 P 2.66
P1 0.0000 0.0000 0.0000  6 Tl 2.66
Ni1 0.5000 0.5000 0.5000  12 Tl 3.77

Arrangement ii

Tl3NiP: relaxed, PBE.

## Properties
Its density is 8.89 g cm⁻³.

Cell lengths 5.0817, 5.0817, 5.0817 Å; angles 90.00, 90.00, 90.00 degrees
Last column: nearest neighbours and their distance in Å.
Positions (direct):
P1 0.5000 0.5000 0.5000  12 Tl 3.59
Ni1 0.0000 0.0000 0.0000  6 Tl 2.54
Tl1 0.0000 0.0000 0.5000  2 Ni 2.54
Tl2 0.5000 0.0000 0.0000  2 Ni 2.54
Tl3 0.0000 0.5000 0.0000  2 Ni 2.54

Stability check: which of them is most stable? arrangement ii.

Arrangement i

TlNi3P: relaxed, PBE.

## Properties
Its density is 8.94 g cm⁻³.

Cell lengths 4.2441, 4.2441, 4.2441 Å; angles 90.00, 90.00, 90.00 degrees
Last column: nearest neighbours and their distance in Å.
Positions (direct):
Tl1 0.5000 0.5000 0.5000  12 Ni 3.00
Ni1 0.0000 0.0000 0.5000  2 P 2.12
Ni2 0.0000 0.5000 0.0000  2 P 2.12
Ni3 0.5000 0.0000 0.0000  2 P 2.12
P1 0.0000 0.0000 0.0000  6 Ni 2.12

Arrangement ii

TlNi3P: relaxed, PBE.

## Properties
Its density is 6.57 g cm⁻³.

Cell lengths 4.7033, 4.7033, 4.7033 Å; angles 90.00, 90.00, 90.00 degrees
Last column: nearest neighbours and their distance in Å.
Positions (direct):
Ni1 0.0000 0.5000 0.0000  2 Tl 2.35
Ni2 0.5000 0.0000 0.0000  2 Tl 2.35
Ni3 0.0000 0.0000 0.5000  2 Tl 2.35
P1 0.5000 0.5000 0.5000  12 Ni 3.33
Tl1 0.0000 0.0000 0.0000  6 Ni 2.35

Stability check: which of them is most stable? arrangement i.

Arrangement i

TmNi3P2: relaxed, PBE.

## Properties
Its density is 8.45 g cm⁻³.

Cell lengths 3.6920, 7.6937, 9.0941 Å; angles 106.46, 90.00, 103.88 degrees
Last column: nearest neighbours and their distance in Å.
Positions (direct):
Ni1 0.6276 0.2553 0.2066  4 P 2.21-2.44
Ni2 0.5000 0.0000 0.5000  4 P 2.23-2.48
Ni3 0.3234 0.6468 0.0324  4 P 2.27-2.34, 1 Ni 2.49
Ni4 0.9546 0.9092 0.6618  4 P 2.30-2.37, 1 Ni 2.50
Ni5 0.0454 0.0908 0.3382  4 P 2.30-2.37, 1 Ni 2.50
Ni6 0.3724 0.7447 0.7934  4 P 2.21-2.44
Ni7 0.2195 0.4390 0.3925  4 P 2.17-2.36
Ni8 0.6766 0.3532 0.9676  4 P 2.27-2.34, 1 Ni 2.49
Ni9 0.7805 0.5610 0.6075  4 P 2.17-2.36
P1 0.7996 0.5992 0.8678  6 Ni 2.27-2.34
P2 0.4662 0.9323 0.2165  5 Ni 2.29-2.48
P3 0.3613 0.7226 0.5461  7 Ni 2.17-2.37
P4 0.6387 0.2774 0.4539  7 Ni 2.17-2.37
P5 0.2004 0.4008 0.1322  6 Ni 2.27-2.34
P6 0.5338 0.0677 0.7835  5 Ni 2.29-2.48
Tm1 0.0000 0.0000 0.0000  6 P 2.85-2.88, 6 Ni 2.91-2.95
Tm2 0.8464 0.6928 0.3003  6 P 2.83-2.93, 8 Ni 2.89-3.13
Tm3 0.1536 0.3072 0.6997  6 P 2.83-2.93, 8 Ni 2.89-3.13

Arrangement ii

TmNi3P2: relaxed, PBE.

## Properties
Its density is 8.36 g cm⁻³.

Cell lengths 3.7349, 7.2986, 6.7794 Å; angles 114.24, 90.00, 104.82 degrees
Last column: nearest neighbours and their distance in Å.
Positions (direct):
Tm1 0.1541 0.3083 0.0691  7 P 2.83-2.98, 7 Ni 2.98-3.14
Tm2 0.8459 0.6917 0.9309  7 P 2.83-2.98, 7 Ni 2.98-3.14
Ni1 0.6002 0.2004 0.6909  3 P 2.21-2.27
Ni2 0.0430 0.0860 0.3663  3 P 2.21-2.26
Ni3 0.3998 0.7996 0.3091  3 P 2.21-2.27
Ni4 0.9570 0.9140 0.6337  3 P 2.21-2.26
Ni5 0.3168 0.6337 0.5679  4 P 2.23-2.50, 1 Ni 2.49
Ni6 0.6832 0.3663 0.4321  4 P 2.23-2.50, 1 Ni 2.49
P1 0.5185 0.0369 0.1767  4 Ni 2.21-2.23, 1 P 2.22
P2 0.4815 0.9631 0.8233  4 Ni 2.21-2.23, 1 P 2.22
P3 0.8101 0.6203 0.3179  6 Ni 2.23-2.50
P4 0.1899 0.3797 0.6821  6 Ni 2.23-2.50

Stability check: which of them is most stable? arrangement i.

Arrangement i

UNi3P2: relaxed, PBE.

## Properties
Its density is 9.65 g cm⁻³.

Cell lengths 3.7232, 7.3065, 6.8901 Å; angles 114.46, 90.00, 104.76 degrees
Last column: nearest neighbours and their distance in Å.
Positions (direct):
U1 0.8485 0.6971 0.9325  7 P 2.85-2.96, 7 Ni 3.03-3.18
U2 0.1515 0.3029 0.0675  7 P 2.85-2.96, 7 Ni 3.03-3.18
Ni1 0.3156 0.6311 0.5624  4 P 2.26-2.49, 3 Ni 2.49-2.50
Ni2 0.9558 0.9116 0.6280  3 P 2.23-2.25
Ni3 0.0442 0.0884 0.3720  3 P 2.23-2.25
Ni4 0.5995 0.1990 0.6880  3 P 2.23-2.27, 1 Ni 2.49
Ni5 0.6844 0.3689 0.4376  4 P 2.26-2.49, 3 Ni 2.49-2.50
Ni6 0.4005 0.8010 0.3120  3 P 2.23-2.27, 1 Ni 2.49
P1 0.1904 0.3809 0.6836  6 Ni 2.25-2.49
P2 0.5184 0.0369 0.1768  4 Ni 2.23-2.26, 1 P 2.26
P3 0.4816 0.9631 0.8232  4 Ni 2.23-2.26, 1 P 2.26
P4 0.8096 0.6191 0.3164  6 Ni 2.25-2.49

Arrangement ii

UNi3P2: relaxed, PBE.

## Properties
Its density is 9.71 g cm⁻³.

Cell lengths 3.7196, 7.7360, 9.1359 Å; angles 106.29, 90.00, 103.91 degrees
Last column: nearest neighbours and their distance in Å.
Positions (direct):
P1 0.5348 0.0696 0.7888  5 Ni 2.31-2.54
P2 0.4652 0.9304 0.2112  5 Ni 2.31-2.54
P3 0.1980 0.3961 0.1295  6 Ni 2.31-2.37
P4 0.6395 0.2789 0.4606  7 Ni 2.20-2.42
P5 0.8020 0.6039 0.8705  6 Ni 2.31-2.37
P6 0.3605 0.7211 0.5394  7 Ni 2.20-2.42
Ni1 0.3227 0.6453 0.0270  4 P 2.31-2.32, 1 Ni 2.50
Ni2 0.2150 0.4300 0.3953  4 P 2.20-2.37
Ni3 0.5000 0.0000 0.5000  2 P 2.23
Ni4 0.9580 0.9159 0.6583  4 P 2.33-2.42, 3 Ni 2.50-2.54
Ni5 0.7850 0.5700 0.6047  4 P 2.20-2.37
Ni6 0.0420 0.0841 0.3417  4 P 2.33-2.42, 3 Ni 2.50-2.54
Ni7 0.6773 0.3547 0.9730  4 P 2.31-2.32, 1 Ni 2.50
Ni8 0.6313 0.2626 0.2149  3 P 2.21-2.35
Ni9 0.3687 0.7374 0.7851  3 P 2.21-2.35
U1 0.0000 0.0000 0.0000  6 P 2.83-2.87, 6 Ni 2.99-3.00
U2 0.1562 0.3124 0.7044  6 P 2.86-2.94, 9 Ni 2.88-3.19
U3 0.8438 0.6876 0.2956  6 P 2.86-2.94, 9 Ni 2.88-3.19

Stability check: which of them is most stable? arrangement ii.

Arrangement i

U3Ni2P4: relaxed, PBE.

## Properties
Its density is 10.53 g cm⁻³.

Cell lengths 3.9376, 5.4406, 7.6917 Å; angles 100.44, 90.00, 111.22 degrees
Last column: nearest neighbours and their distance in Å.
Positions (direct):
U1 0.0000 0.0000 0.0000  8 P 2.93-3.00, 4 Ni 3.01
U2 0.3376 0.6751 0.3233  4 Ni 2.85-2.99, 8 P 2.89-3.02
U3 0.6624 0.3249 0.6767  4 Ni 2.85-2.99, 8 P 2.89-3.02
P1 0.2825 0.5650 0.9373  1 Ni 2.20, 2 P 2.34
P2 0.9328 0.8657 0.6094  2 Ni 2.21, 1 P 2.36
P3 0.7175 0.4350 0.0627  1 Ni 2.20, 2 P 2.34
P4 0.0672 0.1343 0.3906  2 Ni 2.21, 1 P 2.36
Ni1 0.6116 0.2233 0.2862  3 P 2.20-2.21
Ni2 0.3884 0.7767 0.7138  3 P 2.20-2.21

Arrangement ii

U3Ni2P4: relaxed, PBE.

## Properties
Its density is 10.37 g cm⁻³.

Cell lengths 3.7673, 6.3441, 8.1887 Å; angles 123.29, 90.00, 107.27 degrees
Last column: nearest neighbours and their distance in Å.
Positions (direct):
Ni1 0.3150 0.6300 0.6318  4 P 2.26-2.28
Ni2 0.6850 0.3700 0.3682  4 P 2.26-2.28
U1 0.0000 0.0000 0.0000  6 P 2.73-2.75
U2 0.6051 0.2102 0.6758  1 U 2.52, 4 P 2.79-2.81
U3 0.3949 0.7898 0.3242  1 U 2.52, 4 P 2.79-2.81
P1 0.3082 0.6165 0.9022  1 Ni 2.26
P2 0.6918 0.3835 0.0978  1 Ni 2.26
P3 0.0893 0.1787 0.3937  3 Ni 2.27-2.28
P4 0.9107 0.8213 0.6063  3 Ni 2.27-2.28

Stability check: which of them is most stable? arrangement ii.